*i*
Material: Pm2MgNi
Method: DFT, PBE
State: optimized geometry

```
data_Pm2MgNi
_chemical_formula_sum 'Pm6 Mg3 Ni3'
_cell_length_a 3.9550
_cell_length_b 3.9550
_cell_length_c 25.4971
_cell_angle_alpha 90.00
_cell_angle_beta 90.00
_cell_angle_gamma 120.00
_space_group_name_H-M_alt 'R 3 m'
_space_group_IT_number 160
_space_group_name_Hall 'R 3 -2"'
loop_
_atom_site_label
_atom_site_type_symbol
_atom_site_fract_x
_atom_site_fract_y
_atom_site_fract_z
_atom_site_occupancy
Pm1 Pm 0.0000 0.0000 0.0000 1
Pm2 Pm 0.0000 0.0000 0.2109 1
Mg1 Mg 0.0000 0.0000 0.4394 1
Ni1 Ni 0.0000 0.0000 0.6047 1
```

---

*ii*
Material: Pm2MgNi
Method: DFT, PBE
State: optimized geometry

```
data_Pm2MgNi
_chemical_formula_sum 'Pm2 Mg1 Ni1'
_cell_length_a 3.536
_cell_length_b 3.536
_cell_length_c 8.039
_cell_angle_alpha 90.00
_cell_angle_beta 90.00
_cell_angle_gamma 90.00
_space_group_name_H-M_alt 'P 4/m m m'
_space_group_IT_number 123
_space_group_name_Hall '-P 4 2'
loop_
_atom_site_label
_atom_site_type_symbol
_atom_site_fract_x
_atom_site_fract_y
_atom_site_fract_z
_atom_site_occupancy
Pm1 Pm 0.000 0.000 0.205 1
Mg1 Mg 0.500 0.500 0.500 1
Ni1 Ni 0.500 0.500 0.000 1
```

---

*iii*
Material: Pm2MgNi
Method: DFT, PBE
State: optimized geometry

```
data_Pm2MgNi
_chemical_formula_sum 'Pm6 Mg3 Ni3'
_cell_length_a 3.3331
_cell_length_b 3.3331
_cell_length_c 32.4848
_cell_angle_alpha 90.00
_cell_angle_beta 90.00
_cell_angle_gamma 120.00
_space_group_name_H-M_alt 'R -3 m'
_space_group_IT_number 166
_space_group_name_Hall '-R 3 2"'
loop_
_atom_site_label
_atom_site_type_symbol
_atom_site_fract_x
_atom_site_fract_y
_atom_site_fract_z
_atom_site_occupancy
Pm1 Pm 0.0000 0.0000 0.0787 1
Mg1 Mg 0.0000 0.0000 0.5000 1
Ni1 Ni 0.0000 0.0000 0.0000 1
```

---

Q: Which of them is the most stable? A: *ii*.

---

*i*
Material: PmMg2Ni
Method: DFT, PBE
State: optimized geometry

```
data_PmMg2Ni
_chemical_formula_sum 'Pm1 Mg2 Ni1'
_cell_length_a 3.235
_cell_length_b 3.235
_cell_length_c 8.035
_cell_angle_alpha 90.00
_cell_angle_beta 90.00
_cell_angle_gamma 90.00
_space_group_name_H-M_alt 'P 4/m m m'
_space_group_IT_number 123
_space_group_name_Hall '-P 4 2'
loop_
_atom_site_label
_atom_site_type_symbol
_atom_site_fract_x
_atom_site_fract_y
_atom_site_fract_z
_atom_site_occupancy
Pm1 Pm 0.000 0.000 0.000 1
Mg1 Mg 0.500 0.500 0.321 1
Ni1 Ni 0.000 0.000 0.500 1
```

---

*ii*
Material: PmMg2Ni
Method: DFT, PBE
State: optimized geometry

```
data_PmMg2Ni
_chemical_formula_sum 'Pm2 Mg4 Ni2'
_cell_length_a 4.094
_cell_length_b 8.305
_cell_length_c 5.462
_cell_angle_alpha 90.00
_cell_angle_beta 111.82
_cell_angle_gamma 90.00
_space_group_name_H-M_alt 'P 1 21/m 1'
_space_group_IT_number 11
loop_
_space_group_symop_operation_xyz
'x,y,z'
'-x,-y,-z'
'-x,y+1/2,-z'
'x,-y+1/2,z'
loop_
_atom_site_label
_atom_site_type_symbol
_atom_site_fract_x
_atom_site_fract_y
_atom_site_fract_z
_atom_site_occupancy
Pm1 Pm 0.062 0.250 0.124 1
Mg1 Mg 0.348 0.055 0.696 1
Ni1 Ni 0.231 0.750 0.462 1
```

---

Q: Which of them is the most stable? A: *ii*.

---

*i*
Material: Pm3Mg2Ni3
Method: DFT, PBE
State: optimized geometry

```
data_Pm3Mg2Ni3
_chemical_formula_sum 'Pm6 Mg4 Ni6'
_cell_length_a 3.399
_cell_length_b 4.943
_cell_length_c 20.413
_cell_angle_alpha 90.00
_cell_angle_beta 90.00
_cell_angle_gamma 90.00
_space_group_name_H-M_alt 'I m m m'
_space_group_IT_number 71
_space_group_name_Hall '-I 2 2'
loop_
_atom_site_label
_atom_site_type_symbol
_atom_site_fract_x
_atom_site_fract_y
_atom_site_fract_z
_atom_site_occupancy
Pm1 Pm 0.000 0.000 0.000 1
Pm2 Pm 0.000 0.500 0.118 1
Mg1 Mg 0.000 0.000 0.226 1
Ni1 Ni 0.000 0.000 0.500 1
Ni2 Ni 0.000 0.500 0.380 1
```

---

*ii*
Material: Pm3Mg2Ni3
Method: DFT, PBE
State: optimized geometry

```
data_Pm3Mg2Ni3
_chemical_formula_sum 'Pm6 Mg4 Ni6'
_cell_length_a 8.2587
_cell_length_b 8.2587
_cell_length_c 5.7734
_cell_angle_alpha 90.00
_cell_angle_beta 90.00
_cell_angle_gamma 120.00
_space_group_name_H-M_alt 'P 63/m c m'
_space_group_IT_number 193
_space_group_name_Hall '-P 6c 2'
loop_
_atom_site_label
_atom_site_type_symbol
_atom_site_fract_x
_atom_site_fract_y
_atom_site_fract_z
_atom_site_occupancy
Pm1 Pm 0.0000 0.2727 0.2500 1
Mg1 Mg 0.3333 0.6667 0.0000 1
Ni1 Ni 0.0000 0.3953 0.7500 1
```

---

Q: Which of them is the most stable? A: *ii*.

---

*i*
Material: Pr4MgNi
Method: DFT, PBE
State: optimized geometry

```
data_Pr4MgNi
_chemical_formula_sum 'Pr16 Mg4 Ni4'
_cell_length_a 9.070
_cell_length_b 13.940
_cell_length_c 6.153
_cell_angle_alpha 90.00
_cell_angle_beta 111.36
_cell_angle_gamma 90.00
_space_group_name_H-M_alt 'C 1 2/c 1'
_space_group_IT_number 15
loop_
_space_group_symop_operation_xyz
'x,y,z'
'-x,-y,-z'
'-x,y,-z+1/2'
'x,-y,z+1/2'
'x+1/2,y+1/2,z'
'-x+1/2,-y+1/2,-z'
'-x+1/2,y+1/2,-z+1/2'
'x+1/2,-y+1/2,z+1/2'
loop_
_atom_site_label
_atom_site_type_symbol
_atom_site_fract_x
_atom_site_fract_y
_atom_site_fract_z
_atom_site_occupancy
Pr1 Pr 0.113 0.184 0.071 1
Pr2 Pr 0.237 0.423 0.362 1
Mg1 Mg 0.000 0.385 0.750 1
Ni1 Ni 0.000 0.001 0.750 1
```

---

*ii*
Material: Pr4MgNi
Method: DFT, PBE
State: optimized geometry

```
data_Pr4MgNi
_chemical_formula_sum 'Pr64 Mg16 Ni16'
_cell_length_a 14.157
_cell_length_b 14.157
_cell_length_c 14.157
_cell_angle_alpha 90.00
_cell_angle_beta 90.00
_cell_angle_gamma 90.00
_space_group_name_H-M_alt 'F -4 3 m'
_space_group_IT_number 216
_space_group_name_Hall 'F -4 2 3'
loop_
_atom_site_label
_atom_site_type_symbol
_atom_site_fract_x
_atom_site_fract_y
_atom_site_fract_z
_atom_site_occupancy
Pr1 Pr 0.000 0.000 0.187 1
Pr2 Pr 0.060 0.250 0.750 1
Pr3 Pr 0.096 0.096 0.404 1
Mg1 Mg 0.171 0.171 0.171 1
Ni1 Ni 0.108 0.108 0.608 1
```

---

Q: Which of them is the most stable? A: *ii*.

---

*i*
Material: Mg2Ni2Pt
Method: DFT, PBE
State: optimized geometry

```
data_Mg2Ni2Pt
_chemical_formula_sum 'Mg4 Ni4 Pt2'
_cell_length_a 7.081
_cell_length_b 7.081
_cell_length_c 2.862
_cell_angle_alpha 90.00
_cell_angle_beta 90.00
_cell_angle_gamma 90.00
_space_group_name_H-M_alt 'P 4/m b m'
_space_group_IT_number 127
_space_group_name_Hall '-P 4 2ab'
loop_
_atom_site_label
_atom_site_type_symbol
_atom_site_fract_x
_atom_site_fract_y
_atom_site_fract_z
_atom_site_occupancy
Mg1 Mg 0.145 0.355 0.000 1
Ni1 Ni 0.153 0.653 0.500 1
Pt1 Pt 0.000 0.000 0.000 1
```

---

*ii*
Material: Mg2Ni2Pt
Method: DFT, PBE
State: optimized geometry

```
data_Mg2Ni2Pt
_chemical_formula_sum 'Mg4 Ni4 Pt2'
_cell_length_a 3.787
_cell_length_b 3.787
_cell_length_c 10.842
_cell_angle_alpha 90.00
_cell_angle_beta 90.00
_cell_angle_gamma 90.00
_space_group_name_H-M_alt 'I 4/m m m'
_space_group_IT_number 139
_space_group_name_Hall '-I 4 2'
loop_
_atom_site_label
_atom_site_type_symbol
_atom_site_fract_x
_atom_site_fract_y
_atom_site_fract_z
_atom_site_occupancy
Mg1 Mg 0.000 0.500 0.250 1
Ni1 Ni 0.000 0.000 0.098 1
Pt1 Pt 0.000 0.000 0.500 1
```

---

Q: Which of them is the most stable? A: *i*.

---

*i*
Material: MgNi2Pt2
Method: DFT, PBE
State: optimized geometry

```
data_MgNi2Pt2
_chemical_formula_sum 'Mg2 Ni4 Pt4'
_cell_length_a 7.213
_cell_length_b 7.213
_cell_length_c 2.847
_cell_angle_alpha 90.00
_cell_angle_beta 90.00
_cell_angle_gamma 90.00
_space_group_name_H-M_alt 'P 4/m b m'
_space_group_IT_number 127
_space_group_name_Hall '-P 4 2ab'
loop_
_atom_site_label
_atom_site_type_symbol
_atom_site_fract_x
_atom_site_fract_y
_atom_site_fract_z
_atom_site_occupancy
Mg1 Mg 0.000 0.000 0.000 1
Ni1 Ni 0.161 0.339 0.500 1
Pt1 Pt 0.138 0.638 0.000 1
```

---

*ii*
Material: MgNi2Pt2
Method: DFT, PBE
State: optimized geometry

```
data_MgNi2Pt2
_chemical_formula_sum 'Mg2 Ni4 Pt4'
_cell_length_a 3.895
_cell_length_b 3.895
_cell_length_c 10.594
_cell_angle_alpha 90.00
_cell_angle_beta 90.00
_cell_angle_gamma 90.00
_space_group_name_H-M_alt 'I 4/m m m'
_space_group_IT_number 139
_space_group_name_Hall '-I 4 2'
loop_
_atom_site_label
_atom_site_type_symbol
_atom_site_fract_x
_atom_site_fract_y
_atom_site_fract_z
_atom_site_occupancy
Mg1 Mg 0.000 0.000 0.000 1
Ni1 Ni 0.000 0.000 0.398 1
Pt1 Pt 0.000 0.500 0.250 1
```

---

Q: Which of them is the most stable? A: *i*.

---

*i*
Material: MgNi2Pt2
Method: DFT, PBE
State: optimized geometry

```
data_MgNi2Pt2
_chemical_formula_sum 'Mg2 Ni4 Pt4'
_cell_length_a 7.236
_cell_length_b 7.236
_cell_length_c 2.793
_cell_angle_alpha 90.00
_cell_angle_beta 90.00
_cell_angle_gamma 90.00
_space_group_name_H-M_alt 'P 4/m b m'
_space_group_IT_number 127
_space_group_name_Hall '-P 4 2ab'
loop_
_atom_site_label
_atom_site_type_symbol
_atom_site_fract_x
_atom_site_fract_y
_atom_site_fract_z
_atom_site_occupancy
Mg1 Mg 0.000 0.000 0.000 1
Ni1 Ni 0.119 0.381 0.000 1
Pt1 Pt 0.178 0.678 0.500 1
```

---

*ii*
Material: MgNi2Pt2
Method: DFT, PBE
State: optimized geometry

```
data_MgNi2Pt2
_chemical_formula_sum 'Mg2 Ni4 Pt4'
_cell_length_a 3.499
_cell_length_b 3.499
_cell_length_c 12.610
_cell_angle_alpha 90.00
_cell_angle_beta 90.00
_cell_angle_gamma 90.00
_space_group_name_H-M_alt 'I 4/m m m'
_space_group_IT_number 139
_space_group_name_Hall '-I 4 2'
loop_
_atom_site_label
_atom_site_type_symbol
_atom_site_fract_x
_atom_site_fract_y
_atom_site_fract_z
_atom_site_occupancy
Mg1 Mg 0.000 0.000 0.000 1
Ni1 Ni 0.000 0.500 0.250 1
Pt1 Pt 0.000 0.000 0.396 1
```

---

Q: Which of them is the most stable? A: *i*.

---

*i*
Material: Pu2MgNi
Method: DFT, PBE
State: optimized geometry

```
data_Pu2MgNi
_chemical_formula_sum 'Pu2 Mg1 Ni1'
_cell_length_a 3.171
_cell_length_b 3.171
_cell_length_c 8.804
_cell_angle_alpha 90.00
_cell_angle_beta 90.00
_cell_angle_gamma 90.00
_space_group_name_H-M_alt 'P 4/m m m'
_space_group_IT_number 123
_space_group_name_Hall '-P 4 2'
loop_
_atom_site_label
_atom_site_type_symbol
_atom_site_fract_x
_atom_site_fract_y
_atom_site_fract_z
_atom_site_occupancy
Pu1 Pu 0.000 0.000 0.203 1
Mg1 Mg 0.500 0.500 0.500 1
Ni1 Ni 0.500 0.500 0.000 1
```

---

*ii*
Material: Pu2MgNi
Method: DFT, PBE
State: optimized geometry

```
data_Pu2MgNi
_chemical_formula_sum 'Pu6 Mg3 Ni3'
_cell_length_a 2.9510
_cell_length_b 2.9510
_cell_length_c 33.1319
_cell_angle_alpha 90.00
_cell_angle_beta 90.00
_cell_angle_gamma 120.00
_space_group_name_H-M_alt 'R -3 m'
_space_group_IT_number 166
_space_group_name_Hall '-R 3 2"'
loop_
_atom_site_label
_atom_site_type_symbol
_atom_site_fract_x
_atom_site_fract_y
_atom_site_fract_z
_atom_site_occupancy
Pu1 Pu 0.0000 0.0000 0.0971 1
Mg1 Mg 0.0000 0.0000 0.0000 1
Ni1 Ni 0.0000 0.0000 0.5000 1
```

---

Q: Which of them is the most stable? A: *i*.